# Zn2Hg5Pd12

Crystalline Zn2Hg5Pd12 at its relaxed geometry (PBE-GGA, Alexandria via LeMat-Bulk).

Values from the calculation:
The calculation puts the formation energy at -0.15 eV/atom. The density of states at the Fermi level comes out at 0.38 states/eV/atom. The calculation puts the theoretical density at 12.29 g/cm³. The space group is C2/m.

a = 7.540 Å, b = 7.540 Å, c = 6.574 Å
α = 90.43°, β = 90.43°, γ = 60.63°
Fractional coordinates of all 19 atoms:
Zn: 0.204 0.796 0.000
Zn: 0.796 0.204 0.000
Hg: 0.201 0.201 0.986
Hg: 0.259 0.259 0.426
Hg: 0.500 0.500 0.500
Hg: 0.741 0.741 0.574
Hg: 0.799 0.799 0.014
Pd: 0.051 0.051 0.309
Pd: 0.080 0.682 0.342
Pd: 0.161 0.537 0.756
Pd: 0.318 0.920 0.658
Pd: 0.411 0.411 0.110
Pd: 0.463 0.839 0.244
Pd: 0.537 0.161 0.756
Pd: 0.589 0.589 0.890
Pd: 0.682 0.080 0.342
Pd: 0.839 0.463 0.244
Pd: 0.920 0.318 0.658
Pd: 0.949 0.949 0.691